Entry from Alexandria via LeMat-Bulk: a geometry-optimized LiTiNb structure (PBE-GGA).

Size of the total moment (μB per formula unit): 0.000
ΔE_f (eV/atom): 0.27
E above lowest polymorph (meV per atom): 132

a b c (Å): 4.5589 4.5589 5.8924
angles (deg): 90.00 90.00 120.00
Space group P-3m1 (No. 164)
Inequivalent atoms, fractional coordinates:
Li 0.3333 0.6667 0.4280
Ti 0.0000 0.0000 0.2262
Nb 0.3333 0.6667 0.9385